*A*
PrThZn4, optimized geometry, DFT GGA-PBE; density = 7.728 g/cm3; total magnetization = 0.09 μB/atom; crystal system = tetragonal
1.0
-1.337 3.813 -1.242
-3.997 -1.372 0.090
2.085 0.951 7.869
Pr Th Zn
1 1 4
direct
0.250 0.750 0.500
0.000 0.000 0.000
0.667 0.167 0.334
0.582 0.582 0.164
0.833 0.333 0.666
0.418 0.418 0.836

***

*B*
PrThZn4, optimized geometry, DFT GGA-PBE; density = 8.558 g/cm3; total magnetization = 0.00 μB/atom; crystal system = cubic
1.0
-3.804 3.297 -2.417
-4.862 -2.142 -1.720
-4.720 1.264 2.703
Pr Zn Th
1 4 1
direct
0.250 0.250 0.250
0.624 0.624 0.127
0.624 0.127 0.624
0.624 0.624 0.624
0.127 0.624 0.624
0.000 0.000 0.000

***

Verdict on stability: *B* comes out on top.

***

*A*
PrTh2Zr, optimized geometry, DFT GGA-PBE; density = 9.584 g/cm3; total magnetization = 0.00 μB/atom; crystal system = cubic
1.0
-0.704 -4.578 -3.051
4.399 -2.992 -1.568
0.900 -4.992 2.242
Pr Zr Th
1 1 2
direct
0.000 0.000 0.000
0.500 0.500 0.500
0.250 0.250 0.250
0.750 0.750 0.750

***

*B*
PrTh2Zr, optimized geometry, DFT GGA-PBE; density = 9.416 g/cm3; total magnetization = 0.00 μB/atom; crystal system = tetragonal
1.0
-0.671 1.576 -3.062
-2.799 -2.066 -0.451
-5.705 6.702 4.699
Pr Zr Th
1 1 2
direct
0.500 0.500 0.500
0.500 0.500 0.000
0.000 0.000 0.769
0.000 0.000 0.231

***

*C*
PrTh2Zr, optimized geometry, DFT GGA-PBE; density = 9.464 g/cm3; total magnetization = 0.00 μB/atom; crystal system = trigonal
1.0
3.509 0.000 0.000
1.754 3.039 0.000
1.754 1.013 11.457
Pr Th Zr
1 2 1
direct
0.498 0.498 0.505
0.079 0.079 0.764
0.255 0.255 0.235
0.668 0.668 0.996

***

Verdict on stability: *B* comes out on top.

***

*A*
Pr2ThZr, optimized geometry, DFT GGA-PBE; density = 8.039 g/cm3; total magnetization = 0.00 μB/atom; crystal system = trigonal
1.0
-0.047 -3.378 -0.991
1.259 -0.927 -3.155
10.963 -2.950 3.278
Pr Th Zr
2 1 1
direct
0.078 0.078 0.767
0.255 0.255 0.235
0.500 0.500 0.499
0.667 0.667 0.999

***

*B*
Pr2ThZr, optimized geometry, DFT GGA-PBE; density = 7.933 g/cm3; total magnetization = 0.00 μB/atom; crystal system = trigonal
1.0
-2.690 -1.771 1.290
0.187 -3.449 0.320
3.694 -0.456 11.740
Pr Zr Th
2 1 1
direct
0.086 0.086 0.741
0.914 0.914 0.259
0.000 0.000 0.000
0.500 0.500 0.500

***

Verdict on stability: *A* comes out on top.

***

*A*
PrThZr2, optimized geometry, DFT GGA-PBE; density = 8.236 g/cm3; total magnetization = 0.00 μB/atom; crystal system = tetragonal
1.0
4.863 0.000 0.000
0.000 4.799 0.000
0.000 0.000 4.799
Pr Zr Th
1 2 1
direct
0.500 0.000 0.000
0.000 0.000 0.500
0.000 0.500 0.000
0.500 0.500 0.500

***

*B*
PrThZr2, optimized geometry, DFT GGA-PBE; density = 8.048 g/cm3; total magnetization = 0.00 μB/atom; crystal system = tetragonal
1.0
-0.205 -0.675 -3.933
3.988 -0.155 -0.181
-0.219 -7.070 1.224
Pr Zr Th
1 2 1
direct
0.500 0.500 0.500
0.000 0.000 0.788
0.000 0.000 0.212
0.500 0.500 0.000

***

Verdict on stability: *B* comes out on top.

***

*A*
PrY2Ti, optimized geometry, DFT GGA-PBE; density = 5.239 g/cm3; total magnetization = 0.00 μB/atom; crystal system = tetragonal
1.0
-0.465 -1.235 -3.158
0.365 -3.187 1.193
-9.773 -0.508 1.636
Pr Y Ti
1 2 1
direct
0.500 0.500 0.500
0.000 0.000 0.790
0.000 0.000 0.210
0.500 0.500 0.000

***

*B*
PrY2Ti, optimized geometry, DFT GGA-PBE; density = 5.097 g/cm3; total magnetization = 0.48 μB/atom; crystal system = trigonal
1.0
3.402 0.000 0.000
1.701 2.946 0.000
1.701 0.982 11.913
Pr Y Ti
1 2 1
direct
0.500 0.500 0.500
0.082 0.082 0.754
0.918 0.918 0.246
0.000 0.000 0.000

***

Verdict on stability: *A* comes out on top.

***

*A*
Pr5Tl3, optimized geometry, DFT GGA-PBE; density = 8.218 g/cm3; total magnetization = 0.00 μB/atom; crystal system = hexagonal
1.0
-5.846 3.647 -1.124
2.181 0.692 -9.102
-5.111 -7.250 3.063
Pr Tl
10 6
direct
0.000 0.667 0.333
0.500 0.333 0.667
0.000 0.333 0.667
0.500 0.667 0.333
0.750 0.764 0.764
0.250 0.236 0.236
0.750 0.000 0.236
0.750 0.236 0.000
0.250 0.764 0.000
0.250 0.000 0.764
0.750 0.403 0.403
0.250 0.597 0.597
0.750 0.000 0.597
0.750 0.597 0.000
0.250 0.403 0.000
0.250 0.000 0.403

***

*B*
Pr5Tl3, optimized geometry, DFT GGA-PBE; density = 8.555 g/cm3; total magnetization = 0.00 μB/atom; crystal system = tetragonal
1.0
-6.954 4.136 -5.044
4.129 -8.476 1.420
-4.422 0.438 8.436
Pr Tl
10 6
direct
0.585 0.281 0.866
0.415 0.719 0.134
0.281 0.415 0.695
0.915 0.781 0.695
0.781 0.085 0.866
0.250 0.750 0.500
0.750 0.250 0.500
0.085 0.219 0.305
0.719 0.585 0.305
0.219 0.915 0.134
0.339 0.161 0.500
0.161 0.661 0.822
0.750 0.750 0.000
0.839 0.339 0.178
0.661 0.839 0.500
0.250 0.250 0.000

***

*C*
Pr5Tl3, optimized geometry, DFT GGA-PBE; density = 8.694 g/cm3; total magnetization = 0.00 μB/atom; crystal system = orthorhombic
1.0
5.203 0.000 0.000
0.000 6.969 -0.225
0.000 -0.475 6.956
Pr Tl
5 3
direct
0.000 0.000 0.000
0.000 0.500 0.000
0.000 0.000 0.500
0.500 0.729 0.729
0.500 0.271 0.271
0.000 0.500 0.500
0.500 0.772 0.228
0.500 0.228 0.772

***

Verdict on stability: *B* comes out on top.